[1]
Here is a relaxed structure of PrScIr from Alexandria via LeMat-Bulk. Energies are from PBE-GGA.

Cell lengths 4.7771, 4.7771, 4.7771 Å; angles 60.00, 60.00, 60.00 degrees
Positions (direct):
Pr1 0.0000 0.0000 0.0000
Sc1 0.5000 0.5000 0.5000
Ir1 0.7500 0.7500 0.7500

ΔE_f, meV per atom: -514
E, eV/atom: -7.17
Symmetry: F-43m, No. 216

[2]
Here is a relaxed structure of Sc2CrIn from Alexandria via LeMat-Bulk. Energies are from PBE-GGA.

Cell lengths 3.2396, 3.2396, 7.9781 Å; angles 90.00, 90.00, 90.00 degrees
Positions (direct):
Sc1 0.0000 0.0000 0.0000
Sc2 0.5000 0.5000 0.3049
Cr1 0.0000 0.0000 0.5172
In1 0.5000 0.5000 0.7322

ΔE_f, meV per atom: 66
E, eV/atom: -6.19
Symmetry: P4mm, No. 99

[3]
Here is a relaxed structure of VGaHgAu2 from Alexandria via LeMat-Bulk. Energies are from PBE-GGA.

Cell lengths 5.2276, 5.2276, 4.8595 Å; angles 90.00, 90.00, 90.00 degrees
Positions (direct):
V1 0.0000 0.0000 0.0000
Ga1 0.5000 0.5000 0.0000
Hg1 0.5000 0.5000 0.5000
Au1 0.0000 0.5000 0.5000
Au2 0.5000 0.0000 0.5000

ΔE_f, meV per atom: 997
E, eV/atom: -2.80
Symmetry: P4/mmm, No. 123